5
Lattice="4.489 0.000 0.000 0.000 5.058 0.000 0.000 0.000 4.489" Properties=species:S:1:pos:R:3 comment="CaHfAuO2 PBE-GGA optimized geometry" raw_formation_energy_ev_per_atom=0.454 pbc="T T T"
Hf 0.000 2.529 0.000
Ca 2.244 2.529 2.244
Au 0.000 0.000 0.000
O 0.000 0.000 2.244
O 2.244 0.000 0.000


6
Lattice="4.052 0.000 0.000 0.000 4.052 0.000 0.000 0.000 7.019" Properties=species:S:1:pos:R:3 comment="LaSF PBE-GGA optimized geometry" raw_formation_energy_ev_per_atom=-3.118 pbc="T T T"
S 0.000 2.026 1.048
S 2.026 0.000 5.971
F 0.000 0.000 3.510
F 2.026 2.026 3.510
La 0.000 2.026 5.136
La 2.026 0.000 1.883


5
Lattice="6.730 0.000 0.000 0.000 4.532 0.000 0.000 0.000 6.730" Properties=species:S:1:pos:R:3 comment="Rb2LaCuGe PBE-GGA optimized geometry" delta_e_f_ev_per_atom=0.628 pbc="T T T"
Ge 0.000 0.000 0.000
Cu 0.000 2.266 0.000
Rb 0.000 0.000 3.365
Rb 3.365 0.000 0.000
La 3.365 2.266 3.365


8
Lattice="3.580 0.000 0.000 0.000 6.160 0.116 0.000 -2.146 5.824" Properties=species:S:1:pos:R:3 comment="TbPr2PuN4 PBE-GGA optimized geometry" raw_formation_energy_ev_per_atom=-1.367 pbc="T T T"
Tb 1.790 3.080 0.058
Pr 1.790 -1.073 2.912
Pr 0.000 2.007 2.970
Pu 0.000 0.000 0.000
N 1.790 0.963 1.332
N 1.790 3.051 4.608
N 0.000 -0.129 4.518
N 0.000 4.143 1.421


Number 1: mass density 7.29 g cm⁻³. Number 2: mass density 5.47 g cm⁻³. Number 3: mass density 3.61 g cm⁻³. Number 4: mass density 9.51 g cm⁻³.